8
Lattice="3.512 0.000 0.000 0.000 7.187 -0.776 -1.756 -2.593 9.635" Properties=species:S:1:pos:R:3 comment="PmHo3Tl4 PBE optimized geometry" de_polymorph_mev_per_atom=131 e_tot_ev_per_atom=-3.7040 formation_energy_ev_per_atom=-0.21 sg="Immm, No. 71" pbc="T T T"
Pm 1.756 0.000 0.000
Ho 0.000 3.594 -0.388
Ho 0.000 0.440 4.065
Ho 1.756 4.154 4.794
Tl 0.000 2.282 6.706
Tl 1.756 2.312 2.153
Tl 1.756 5.390 1.821
Tl 0.000 -0.796 7.038